1.
First-principles (PBE) data for crystalline BaZn3Rh at its relaxed geometry, as listed in Alexandria.

Cell lengths 4.3456, 6.1288, 8.9752 Å; angles 99.80, 103.85, 90.05 degrees
Sites, in units of the cell vectors:
Ba: 0.0000 0.0000 0.0000
Ba: 0.2610 0.1259 0.5255
Zn: 0.1991 0.5973 0.3965
Zn: 0.3512 0.6701 0.7050
Zn: 0.4811 0.4979 0.9647
Zn: 0.6282 0.3460 0.2586
Zn: 0.6298 0.7778 0.2603
Zn: 0.8977 0.4776 0.7985
Rh: 0.0536 0.5161 0.1113
Rh: 0.7711 0.6365 0.5420

Calculated values
* energy of formation: -0.29 eV per atom
* size of the total moment: 0.00 μB/f.u.
* offset from the most stable computed form: 0.069 eV/atom

2.
First-principles (PBE) data for crystalline KMn2Ir at its relaxed geometry, as listed in Alexandria.

Cell lengths 2.8400, 4.8655, 5.3019 Å; angles 90.00, 90.00, 90.00 degrees
Sites, in units of the cell vectors:
K: 0.0000 0.0000 0.0000
Mn: 0.0000 0.5000 0.5000
Mn: 0.5000 0.5000 0.0000
Ir: 0.5000 0.0000 0.5000

Calculated values
* energy of formation: 1.08 eV per atom
* size of the total moment: 8.26 μB/f.u.
* offset from the most stable computed form: 0.585 eV/atom

3.
First-principles (PBE) data for crystalline Ba2SrCaCu at its relaxed geometry, as listed in Alexandria.

Cell lengths 6.3978, 6.3978, 5.8865 Å; angles 90.00, 90.00, 90.00 degrees
Sites, in units of the cell vectors:
Ba: 0.0000 0.5000 0.0000
Ba: 0.5000 0.0000 0.0000
Sr: 0.0000 0.0000 0.5000
Ca: 0.5000 0.5000 0.5000
Cu: 0.5000 0.5000 0.0000

Calculated values
* energy of formation: 0.01 eV per atom
* size of the total moment: 0.00 μB/f.u.
* offset from the most stable computed form: 0.000 eV/atom

4.
First-principles (PBE) data for crystalline Rb5Hg2Cl at its relaxed geometry, as listed in Alexandria.

Cell lengths 8.5091, 8.5091, 18.5939 Å; angles 90.00, 90.00, 137.12 degrees
Sites, in units of the cell vectors:
Rb: 0.1068 0.8932 0.6094
Rb: 0.1068 0.8932 0.8906
Rb: 0.2598 0.7402 0.2500
Rb: 0.3875 0.6125 0.6137
Rb: 0.3875 0.6125 0.8863
Rb: 0.6125 0.3875 0.1137
Rb: 0.6125 0.3875 0.3863
Rb: 0.7402 0.2598 0.7500
Rb: 0.8932 0.1068 0.1094
Rb: 0.8932 0.1068 0.3906
Hg: 0.2507 0.7493 0.0452
Hg: 0.2507 0.7493 0.4548
Hg: 0.7493 0.2507 0.5452
Hg: 0.7493 0.2507 0.9548
Cl: 0.2449 0.7551 0.7500
Cl: 0.7551 0.2449 0.2500

Calculated values
* size of the total moment: 0.00 μB/f.u.
* uncorrected formation energy: -0.54 eV per atom

5.
First-principles (PBE) data for crystalline UTaSe3 at its relaxed geometry, as listed in Alexandria.

Cell lengths 7.6002, 3.7041, 8.1198 Å; angles 90.00, 99.36, 90.00 degrees
Sites, in units of the cell vectors:
U: 0.1134 0.2500 0.2940
U: 0.8866 0.7500 0.7060
Ta: 0.3880 0.7500 0.8856
Ta: 0.6120 0.2500 0.1144
Se: 0.1324 0.2500 0.9120
Se: 0.2138 0.7500 0.5654
Se: 0.4043 0.7500 0.2096
Se: 0.5957 0.2500 0.7904
Se: 0.7862 0.2500 0.4346
Se: 0.8676 0.7500 0.0880

Calculated values
* size of the total moment: 2.55 μB/f.u.
* uncorrected formation energy: -0.88 eV per atom

6.
First-principles (PBE) data for crystalline Nd2ThCd3 at its relaxed geometry, as listed in Alexandria.

Cell lengths 3.8388, 3.8388, 11.6175 Å; angles 90.00, 90.00, 90.00 degrees
Sites, in units of the cell vectors:
Nd: 0.0000 0.0000 0.1677
Nd: 0.0000 0.0000 0.8323
Th: 0.0000 0.0000 0.5000
Cd: 0.5000 0.5000 0.0000
Cd: 0.5000 0.5000 0.3308
Cd: 0.5000 0.5000 0.6692

Calculated values
* energy of formation: -0.22 eV per atom
* size of the total moment: 0.51 μB/f.u.

7.
First-principles (PBE) data for crystalline Tb2Tl3Br9 at its relaxed geometry, as listed in Alexandria.

Cell lengths 10.2737, 10.2737, 10.2737 Å; angles 84.38, 84.38, 84.38 degrees
Sites, in units of the cell vectors:
Tb: 0.1465 0.1465 0.1465
Tb: 0.3535 0.3535 0.3535
Tb: 0.6465 0.6465 0.6465
Tb: 0.8535 0.8535 0.8535
Tl: 0.0378 0.7500 0.4622
Tl: 0.2500 0.5378 0.9622
Tl: 0.4622 0.0378 0.7500
Tl: 0.5378 0.9622 0.2500
Tl: 0.7500 0.4622 0.0378
Tl: 0.9622 0.2500 0.5378
Br: 0.0631 0.2801 0.9225
Br: 0.0775 0.9369 0.7199
Br: 0.0954 0.4046 0.2500
Br: 0.2199 0.4369 0.5775
Br: 0.2500 0.0954 0.4046
Br: 0.2801 0.9225 0.0631
Br: 0.4046 0.2500 0.0954
Br: 0.4225 0.7801 0.5631
Br: 0.4369 0.5775 0.2199
Br: 0.5631 0.4225 0.7801
Br: 0.5775 0.2199 0.4369
Br: 0.5954 0.7500 0.9046
Br: 0.7199 0.0775 0.9369
Br: 0.7500 0.9046 0.5954
Br: 0.7801 0.5631 0.4225
Br: 0.9046 0.5954 0.7500
Br: 0.9225 0.0631 0.2801
Br: 0.9369 0.7199 0.0775

Calculated values
* size of the total moment: 0.00 μB/f.u.
* uncorrected formation energy: -1.42 eV per atom

8.
First-principles (PBE) data for crystalline La5Ni4 at its relaxed geometry, as listed in Alexandria.

Cell lengths 6.7290, 6.7290, 6.7290 Å; angles 100.13, 100.13, 130.40 degrees
Sites, in units of the cell vectors:
La: 0.0000 0.0000 0.0000
La: 0.3066 0.3066 0.6133
La: 0.3066 0.6934 0.0000
La: 0.6934 0.3066 0.0000
La: 0.6934 0.6934 0.3867
Ni: 0.0000 0.3591 0.3591
Ni: 0.0000 0.6409 0.6409
Ni: 0.3591 0.0000 0.3591
Ni: 0.6409 0.0000 0.6409

Calculated values
* energy of formation: 0.08 eV per atom
* size of the total moment: 0.00 μB/f.u.
* offset from the most stable computed form: 0.366 eV/atom

9.
First-principles (PBE) data for crystalline Nb2CrB at its relaxed geometry, as listed in Alexandria.

Cell lengths 5.8712, 5.8712, 5.8712 Å; angles 97.01, 97.01, 139.10 degrees
Sites, in units of the cell vectors:
Nb: 0.9996 0.6250 0.8746
Nb: 0.3750 0.2496 0.3746
Nb: 0.7504 0.1250 0.1254
Nb: 0.8750 0.0004 0.6254
Cr: 0.2500 0.7500 0.5000
Cr: 0.5000 0.5000 0.0000
B: 0.0000 0.0000 0.0000
B: 0.7500 0.2500 0.5000

Calculated values
* energy of formation: 0.35 eV per atom
* size of the total moment: 1.03 μB/f.u.

10.
First-principles (PBE) data for crystalline SrAgSe3 at its relaxed geometry, as listed in Alexandria.

Cell lengths 5.8526, 5.8526, 5.8526 Å; angles 90.00, 90.00, 90.00 degrees
Sites, in units of the cell vectors:
Sr: 0.0000 0.0000 0.0000
Ag: 0.5000 0.5000 0.5000
Se: 0.0000 0.0000 0.5000
Se: 0.0000 0.5000 0.0000
Se: 0.5000 0.0000 0.0000

Calculated values
* size of the total moment: 3.00 μB/f.u.
* uncorrected formation energy: 0.26 eV per atom
* offset from the most stable computed form: 0.747 eV/atom

11.
First-principles (PBE) data for crystalline CuReNi2 at its relaxed geometry, as listed in Alexandria.

Cell lengths 4.4706, 4.4706, 4.5036 Å; angles 98.71, 98.71, 33.32 degrees
Sites, in units of the cell vectors:
Cu: 0.0000 0.0000 0.0000
Re: 0.7555 0.7555 0.2874
Ni: 0.2498 0.2498 0.7814
Ni: 0.5038 0.5038 0.5024

Calculated values
* energy of formation: 0.09 eV per atom
* size of the total moment: 0.00 μB/f.u.
* offset from the most stable computed form: 0.101 eV/atom

12.
First-principles (PBE) data for crystalline La8Te4As3H at its relaxed geometry, as listed in Alexandria.

Cell lengths 8.9628, 8.9628, 8.9628 Å; angles 58.81, 58.81, 58.81 degrees
Sites, in units of the cell vectors:
La: 0.2373 0.7443 0.7443
La: 0.2406 0.2406 0.2406
La: 0.2557 0.2557 0.7627
La: 0.2557 0.7627 0.2557
La: 0.7443 0.2373 0.7443
La: 0.7443 0.7443 0.2373
La: 0.7594 0.7594 0.7594
La: 0.7627 0.2557 0.2557
Te: 0.0000 0.0000 0.0000
Te: 0.0000 0.5000 0.5000
Te: 0.5000 0.0000 0.5000
Te: 0.5000 0.5000 0.0000
As: 0.0000 0.0000 0.5000
As: 0.0000 0.5000 0.0000
As: 0.5000 0.0000 0.0000
H: 0.5000 0.5000 0.5000

Calculated values
* size of the total moment: 0.00 μB/f.u.

Number 1: calculated total energy -2.907 eV per atom. Number 2: calculated total energy -5.996 eV per atom. Number 3: calculated total energy -2.314 eV per atom. Number 4: calculated total energy -1.455 eV per atom. Number 5: calculated total energy -7.603 eV per atom. Number 6: calculated total energy -3.508 eV per atom. Number 7: calculated total energy -3.665 eV per atom. Number 8: calculated total energy -5.229 eV per atom. Number 9: calculated total energy -8.756 eV per atom. Number 10: calculated total energy -2.737 eV per atom. Number 11: calculated total energy -6.938 eV per atom. Number 12: calculated total energy -5.759 eV per atom.